Record 1
{"formula": "Gd2ErCu", "functional": "PBE", "state": "relaxed", "lattice_angstrom": [[3.528, 0.000, 0.000], [0.000, 3.528, 0.000], [0.000, 0.000, 8.597]], "species": ["Gd", "Gd", "Cu", "Er"], "frac_coords": [[0.000, 0.000, 0.798], [0.000, 0.000, 0.202], [0.500, 0.500, 0.000], [0.500, 0.500, 0.500]], "volume_a3_per_atom": 26.75, "e_tot_ev_per_atom": -9.280, "ef_ev_per_atom": -0.07, "polymorph_energy_ev_per_atom": 0.000, "space_group": "P4/mmm"}



Record 2
{"formula": "Ba2PaCoS6", "functional": "PBE", "state": "relaxed", "lattice_angstrom": [[5.137, 0.000, 0.000], [0.000, 5.137, 0.000], [0.000, 0.000, 9.514]], "species": ["Ba", "Ba", "Pa", "Co", "S", "S", "S", "S", "S", "S"], "frac_coords": [[0.000, 0.000, 0.716], [0.000, 0.000, 0.284], [0.500, 0.500, 0.000], [0.500, 0.500, 0.500], [0.500, 0.000, 0.000], [0.500, 0.000, 0.500], [0.000, 0.500, 0.000], [0.000, 0.500, 0.500], [0.500, 0.500, 0.731], [0.500, 0.500, 0.269]], "volume_a3_per_atom": 25.11, "e_tot_ev_per_atom": -5.876, "e_form_raw_mev_per_atom": -1355, "space_group": "P4/mmm"}